# 1
# Pm4Sm3Dy2

A relaxed Pm4Sm3Dy2 crystal (PBE, the Alexandria database).

abc: 11.9824 3.6226 14.9101
angles: 90.00 111.47 90.00
Space group C2/m (No. 12)
Symmetry-distinct sites (fractional):
Pm (0.1678, 0.0000, 0.1673) (multiplicity 4)
Pm (0.2214, 0.5000, 0.3886) (multiplicity 4)
Sm (0.0000, 0.5000, 0.5000) (multiplicity 2)
Sm (0.1108, 0.5000, 0.9436) (multiplicity 4)
Dy (0.0554, 0.0000, 0.7221) (multiplicity 4)

Results
Energy relative to the lowest polymorph listed for this composition ... 0 meV per atom
Mass density ... 7.5 g/cm³
Energy relative to the elements ... 13 meV/atom

***

# 2
# Pm7SmDy12

A relaxed Pm7SmDy12 crystal (PBE, the Alexandria database).

abc: 11.3124 11.3124 11.3124
angles: 90.00 90.00 90.00
Space group Im-3m (No. 229)
Symmetry-distinct sites (fractional):
Pm (0.0000, 0.0000, 0.5000) (multiplicity 6)
Pm (0.2500, 0.2500, 0.2500) (multiplicity 8)
Sm (0.0000, 0.0000, 0.0000) (multiplicity 2)
Dy (0.0000, 0.2492, 0.2492) (multiplicity 24)

Results
Energy relative to the lowest polymorph listed for this composition ... 407 meV per atom
Mass density ... 7.1 g/cm³
Energy relative to the elements ... 640 meV/atom

***

# 3
# Pm11Sm9Dy4

A relaxed Pm11Sm9Dy4 crystal (PBE, the Alexandria database).

abc: 17.0342 26.0357 3.6849
angles: 90.00 90.00 90.00
Space group Cmmm (No. 65)
Symmetry-distinct sites (fractional):
Pm (0.0000, 0.0000, 0.0000) (multiplicity 2)
Pm (0.0000, 0.1626, 0.0000) (multiplicity 4)
Pm (0.0000, 0.3693, 0.0000) (multiplicity 4)
Pm (0.2096, 0.5000, 0.0000) (multiplicity 4)
Pm (0.2227, 0.1808, 0.0000) (multiplicity 8)
Sm (0.0000, 0.5000, 0.5000) (multiplicity 2)
Sm (0.1029, 0.2684, 0.5000) (multiplicity 8)
Sm (0.1387, 0.0742, 0.5000) (multiplicity 8)
Dy (0.1582, 0.3986, 0.5000) (multiplicity 8)

Results
Mass density ... 7.3 g/cm³
Energy relative to the elements ... 56 meV/atom

***

# 4
# Pm15SmDy4

A relaxed Pm15SmDy4 crystal (PBE, the Alexandria database).

abc: 5.1339 5.1339 25.5980
angles: 90.00 90.00 90.00
Space group P4/mmm (No. 123)
Symmetry-distinct sites (fractional):
Pm (0.0000, 0.0000, 0.0000) (multiplicity 1)
Pm (0.0000, 0.0000, 0.2009) (multiplicity 2)
Pm (0.0000, 0.0000, 0.4002) (multiplicity 2)
Pm (0.0000, 0.5000, 0.1009) (multiplicity 4)
Pm (0.0000, 0.5000, 0.3004) (multiplicity 4)
Pm (0.0000, 0.5000, 0.5000) (multiplicity 2)
Sm (0.5000, 0.5000, 0.0000) (multiplicity 1)
Dy (0.5000, 0.5000, 0.2007) (multiplicity 2)
Dy (0.5000, 0.5000, 0.4002) (multiplicity 2)

Results
Mass density ... 7.3 g/cm³
Energy relative to the elements ... 14 meV/atom

***

# 5
# Pm5Sm2Dy

A relaxed Pm5Sm2Dy crystal (PBE, the Alexandria database).

abc: 7.2672 14.5429 5.1238
angles: 90.00 90.00 90.00
Space group Pbam (No. 55)
Symmetry-distinct sites (fractional):
Pm (0.0000, 0.0000, 0.0000) (multiplicity 2)
Pm (0.0009, 0.2509, 0.0000) (multiplicity 4)
Pm (0.2503, 0.3756, 0.5000) (multiplicity 4)
Sm (0.2491, 0.6243, 0.5000) (multiplicity 4)
Dy (0.0000, 0.5000, 0.0000) (multiplicity 2)

Results
Energy relative to the lowest polymorph listed for this composition ... 0 meV per atom
Mass density ... 7.3 g/cm³
Energy relative to the elements ... 15 meV/atom

***

# 6
# PmSm6Dy5

A relaxed PmSm6Dy5 crystal (PBE, the Alexandria database).

abc: 5.0827 10.1541 15.2466
angles: 90.00 90.00 90.00
Space group Immm (No. 71)
Symmetry-distinct sites (fractional):
Pm (0.0000, 0.0000, 0.0000) (multiplicity 2)
Sm (0.0000, 0.2485, 0.5000) (multiplicity 4)
Sm (0.0000, 0.2509, 0.1669) (multiplicity 8)
Dy (0.0000, 0.0000, 0.3332) (multiplicity 4)
Dy (0.0000, 0.5000, 0.0000) (multiplicity 2)
Dy (0.0000, 0.5000, 0.3328) (multiplicity 4)

Results
Mass density ... 7.8 g/cm³
Energy relative to the elements ... 17 meV/atom

***

# 7
# Pm7Sm16Dy6

A relaxed Pm7Sm16Dy6 crystal (PBE, the Alexandria database).

abc: 15.9835 15.9835 15.9835
angles: 90.00 90.00 90.00
Space group Fm-3m (No. 225)
Symmetry-distinct sites (fractional):
Pm (0.0000, 0.0000, 0.0000) (multiplicity 4)
Pm (0.0000, 0.2500, 0.2500) (multiplicity 24)
Sm (0.1256, 0.1256, 0.1256) (multiplicity 32)
Sm (0.1509, 0.1509, 0.3491) (multiplicity 32)
Dy (0.0000, 0.0000, 0.2666) (multiplicity 24)

Results
Mass density ... 7.2 g/cm³
Energy relative to the elements ... 234 meV/atom

***

# 8
# PmSm6Dy8

A relaxed PmSm6Dy8 crystal (PBE, the Alexandria database).

abc: 9.1007 9.1007 20.7659
angles: 90.00 90.00 120.00
Space group R-3 (No. 148, hexagonal axes)
Symmetry-distinct sites (fractional):
Pm (0.0000, 0.0000, 0.0000) (multiplicity 3)
Sm (0.0619, 0.2469, 0.7090) (multiplicity 18)
Dy (0.0000, 0.0000, 0.4234) (multiplicity 6)
Dy (0.0806, 0.5532, 0.8080) (multiplicity 18)

Results
Mass density ... 7.9 g/cm³
Energy relative to the elements ... 125 meV/atom

***

# 9
# Pm7Sm2Dy3

A relaxed Pm7Sm2Dy3 crystal (PBE, the Alexandria database).

abc: 6.4564 3.5690 17.6656
angles: 90.00 96.00 90.00
Space group P2/m (No. 10)
Symmetry-distinct sites (fractional):
Pm (0.0000, 0.0000, 0.0000) (multiplicity 1)
Pm (0.2260, 0.5000, 0.1697) (multiplicity 2)
Pm (0.2573, 0.5000, 0.4964) (multiplicity 2)
Pm (0.2762, 0.0000, 0.8344) (multiplicity 2)
Sm (0.0584, 0.5000, 0.6706) (multiplicity 2)
Dy (0.4540, 0.0000, 0.3408) (multiplicity 2)
Dy (0.5000, 0.5000, 0.0000) (multiplicity 1)

Results
Energy relative to the lowest polymorph listed for this composition ... 0 meV per atom
Mass density ... 7.4 g/cm³
Energy relative to the elements ... 68 meV/atom

***

# 10
# Pm7Sm6Dy16

A relaxed Pm7Sm6Dy16 crystal (PBE, the Alexandria database).

abc: 15.8842 15.8842 15.8842
angles: 90.00 90.00 90.00
Space group Fm-3m (No. 225)
Symmetry-distinct sites (fractional):
Pm (0.0000, 0.0000, 0.0000) (multiplicity 4)
Pm (0.0000, 0.2500, 0.2500) (multiplicity 24)
Sm (0.0000, 0.0000, 0.2653) (multiplicity 24)
Dy (0.1284, 0.1284, 0.1284) (multiplicity 32)
Dy (0.1504, 0.1504, 0.3496) (multiplicity 32)

Results
Mass density ... 7.5 g/cm³
Energy relative to the elements ... 242 meV/atom

***

# 11
# Pm2Sm8Dy3

A relaxed Pm2Sm8Dy3 crystal (PBE, the Alexandria database).

abc: 6.2534 6.2586 11.4282
angles: 90.01 100.50 99.57
Space group P-1 (No. 2)
Symmetry-distinct sites (fractional):
Pm (0.1156, 0.2694, 0.4609) (multiplicity 2)
Sm (0.0390, 0.4219, 0.1517) (multiplicity 2)
Sm (0.1924, 0.1169, 0.7720) (multiplicity 2)
Sm (0.3464, 0.8078, 0.3828) (multiplicity 2)
Sm (0.4229, 0.6550, 0.6949) (multiplicity 2)
Dy (0.2699, 0.9615, 0.0757) (multiplicity 2)
Dy (0.5000, 0.5000, 0.0000) (multiplicity 1)

Results
Energy relative to the lowest polymorph listed for this composition ... 0 meV per atom
Mass density ... 7.6 g/cm³
Energy relative to the elements ... 17 meV/atom

***

# 12
# Pm4SmDy7

A relaxed Pm4SmDy7 crystal (PBE, the Alexandria database).

abc: 12.1211 5.9243 12.7976
angles: 90.00 118.09 90.00
Space group C2/m (No. 12)
Symmetry-distinct sites (fractional):
Pm (0.1368, 0.0000, 0.2768) (multiplicity 4)
Pm (0.2301, 0.5000, 0.1716) (multiplicity 4)
Sm (0.0000, 0.5000, 0.5000) (multiplicity 2)
Dy (0.0000, 0.0000, 0.5000) (multiplicity 2)
Dy (0.0670, 0.5000, 0.8177) (multiplicity 4)
Dy (0.1318, 0.0000, 0.9970) (multiplicity 4)
Dy (0.2109, 0.5000, 0.4230) (multiplicity 4)

Results
Energy relative to the lowest polymorph listed for this composition ... 175 meV per atom
Mass density ... 7.7 g/cm³
Energy relative to the elements ... 261 meV/atom